DFT (PBE) results for an optimized crystal structure of Cu2MoW.

## Properties
E_form = 304 meV per atom
Total magnetization = 0.0000 μB/atom
Symmetry = Cm
Density of states at the Fermi level = 2.36 states/eV/f.u.

Unit cell a=4.677 b=4.677 c=4.888 alpha=83.57 beta=83.57 gamma=32.32
Sites, in units of the cell vectors:
Cu1 0.002 0.002 0.990
Mo1 0.495 0.495 0.504
Cu2 0.747 0.747 0.762
W1 0.256 0.256 0.245